# Pr3SmCu4, relaxed, DFT PBE
data_Pr3SmCu4
_symmetry_space_group_name_H-M 'P 4/m m m'
_symmetry_Int_Tables_number 123
_symmetry_space_group_name_Hall '-P 4 2'
_cell_length_a 5.1057
_cell_length_b 5.1057
_cell_length_c 7.1724
_cell_angle_alpha 90.00
_cell_angle_beta 90.00
_cell_angle_gamma 90.00
loop_
_atom_site_label
_atom_site_fract_x
_atom_site_fract_y
_atom_site_fract_z
Pr1 0.0000 0.0000 0.0000
Pr2 0.0000 0.0000 0.5000
Pr3 0.5000 0.5000 0.0000
Sm1 0.5000 0.5000 0.5000
Cu1 0.0000 0.5000 0.2563
# **Calculated density**: 7.35 g/cm³
# **Total energy**: -36.5 eV for the cell shown